# 1
A relaxed Y2Ho5Pd2 crystal. Source: Alexandria via LeMat-Bulk, functional PBE.

Cell and atoms, written as POSCAR:
```
Y2Ho5Pd2
1.0
6.685 0.000 2.427
0.000 7.061 0.000
-0.114 0.000 10.736
Y Pd Ho
4 4 10
Cartesian
1.734 3.530 5.644
5.076 0.000 6.858
1.494 0.000 6.305
4.836 3.530 7.519
5.786 4.473 2.100
0.898 2.587 0.326
4.241 0.943 1.539
2.444 6.118 0.887
1.387 1.230 2.940
3.342 3.530 1.213
6.178 2.301 10.584
5.183 5.831 10.223
0.000 0.000 0.000
3.735 5.831 3.792
1.841 4.760 9.010
0.392 4.760 2.579
4.729 2.301 4.153
2.836 1.230 9.371
```

## Properties
Space-group type = No. 64
Total energy = -98.30 eV for the cell shown
E_form = -0.327 eV/atom

# 2
A relaxed Y2Ho3Pd3 crystal. Source: Alexandria via LeMat-Bulk, functional PBE.

Cell and atoms, written as POSCAR:
```
Y2Ho3Pd3
1.0
3.548 0.000 0.000
0.000 5.144 0.000
-1.774 -2.572 10.518
Pd Y Ho
3 2 3
Cartesian
0.000 0.000 2.368
1.774 2.572 8.151
0.000 2.572 0.000
0.000 2.572 5.784
1.774 0.000 4.734
1.774 2.572 2.421
0.000 0.000 8.097
1.774 0.000 0.000
```

## Properties
Space-group type = No. 71
Total energy = -47.32 eV for the cell shown
E_form = -0.635 eV/atom

# 3
A relaxed YHoPd2 crystal. Source: Alexandria via LeMat-Bulk, functional PBE.

Cell and atoms, written as POSCAR:
```
YHoPd2
1.0
-3.389 -0.544 0.123
0.589 -2.734 4.149
-0.560 4.115 2.791
Y Pd Ho
1 2 1
Cartesian
-1.695 -0.272 0.061
0.295 -1.367 2.075
-0.280 2.058 1.396
-1.680 0.418 3.532
```

## Properties
Space-group type = No. 123
Total energy = -25.00 eV for the cell shown
E_form = -0.892 eV/atom
Distance to the lowest polymorph of the same formula = 24 meV per atom

# 4
A relaxed Y2HoPd crystal. Source: Alexandria via LeMat-Bulk, functional PBE.

Cell and atoms, written as POSCAR:
```
Y2HoPd
1.0
3.570 0.000 0.000
1.785 3.091 0.000
1.785 1.030 10.729
Y Pd Ho
2 1 1
Cartesian
1.785 1.030 7.341
5.354 3.091 3.388
3.570 2.061 5.364
0.000 0.000 0.000
```

## Properties
Space-group type = No. 166
Total energy = -23.01 eV for the cell shown
E_form = -0.078 eV/atom
Distance to the lowest polymorph of the same formula = 396 meV per atom

# 5
A relaxed YHo6Pd3 crystal. Source: Alexandria via LeMat-Bulk, functional PBE.

Cell and atoms, written as POSCAR:
```
YHo6Pd3
1.0
-0.099 3.367 6.388
0.514 -7.651 4.040
8.480 1.634 -0.730
Ho Pd Y
12 6 2
Cartesian
2.346 -5.452 3.059
0.715 -5.109 8.116
6.260 -1.404 6.291
8.451 -1.786 3.692
6.596 1.242 3.679
2.652 -1.797 2.360
5.341 -3.670 8.719
5.679 -3.823 3.474
3.233 0.621 5.177
8.198 1.873 0.470
0.431 -0.386 6.913
3.541 1.498 1.886
3.803 -0.769 7.613
8.006 -0.702 8.294
2.435 3.025 6.244
6.420 -4.291 6.079
0.849 -0.565 4.029
5.068 -1.035 3.691
5.949 -1.179 1.035
2.988 -2.889 5.973
```

## Properties
Space-group type = No. 36
Total energy = -109.25 eV for the cell shown
E_form = -0.512 eV/atom

# 6
A relaxed Y4Ho3Pd4 crystal. Source: Alexandria via LeMat-Bulk, functional PBE.

Cell and atoms, written as POSCAR:
```
Y4Ho3Pd4
1.0
-2.202 -2.821 1.361
-1.416 -3.034 -8.579
8.162 -1.742 4.212
Pd Y Ho
4 4 3
Cartesian
-1.337 -1.916 -0.748
-2.282 -3.939 -6.470
2.092 -3.757 0.984
2.451 -3.839 -3.990
0.499 -3.869 -1.825
4.569 -2.603 1.998
-0.026 -4.993 -5.004
4.045 -3.728 -1.181
1.368 -1.005 0.130
-0.708 -1.517 -4.290
3.176 -6.592 -3.136
```

## Properties
Space-group type = No. 71
Total energy = -66.80 eV for the cell shown
E_form = -0.585 eV/atom

# 7
A relaxed Y2Ho3Pd4 crystal. Source: Alexandria via LeMat-Bulk, functional PBE.

Cell and atoms, written as POSCAR:
```
Y2Ho3Pd4
1.0
7.723 0.055 0.000
-2.492 7.193 0.000
0.000 0.000 7.592
Pd Ho Y
8 6 4
Cartesian
5.485 3.621 1.004
1.624 3.594 2.792
-0.254 3.626 6.588
-1.204 6.559 3.524
2.573 0.661 7.320
6.435 0.689 4.069
2.658 6.586 0.272
3.607 3.654 4.801
3.900 5.502 2.550
0.038 5.474 1.246
1.331 1.746 5.042
2.615 3.624 0.000
-1.246 3.596 3.796
5.193 1.773 6.346
1.221 5.818 5.148
4.010 1.429 2.445
5.083 5.846 6.241
0.148 1.402 1.351
```

## Properties
Space-group type = No. 14
Total energy = -109.59 eV for the cell shown
E_form = -0.818 eV/atom

# 8
A relaxed YHo5Pd6 crystal. Source: Alexandria via LeMat-Bulk, functional PBE.

Cell and atoms, written as POSCAR:
```
YHo5Pd6
1.0
4.744 -0.028 1.581
0.037 6.865 0.012
0.010 -0.014 7.878
Pd Ho Y
6 5 1
Cartesian
3.958 1.694 3.969
0.832 5.128 5.502
0.814 1.708 5.496
3.976 5.114 3.976
2.381 1.725 0.794
2.399 5.112 0.800
1.604 3.418 3.154
3.169 -0.028 6.307
3.186 3.404 6.317
0.018 3.432 0.006
1.585 -0.014 3.152
0.000 0.000 0.000
```

## Properties
Space-group type = No. 65
Total energy = -71.28 eV for the cell shown
E_form = -0.898 eV/atom

# 9
A relaxed Y3HoPd2 crystal. Source: Alexandria via LeMat-Bulk, functional PBE.

Cell and atoms, written as POSCAR:
```
Y3HoPd2
1.0
3.758 0.000 0.000
0.000 8.549 0.000
0.000 0.000 9.837
Y Ho Pd
6 2 4
Cartesian
1.879 5.737 2.139
0.000 8.473 0.640
0.000 2.810 2.787
1.879 1.463 7.698
0.000 7.084 7.050
0.000 4.199 9.197
1.879 4.346 5.537
1.879 0.071 4.300
0.000 6.290 4.245
0.000 2.016 5.592
1.879 6.540 9.150
1.879 2.265 0.687
```

## Properties
Space-group type = No. 26
Total energy = -75.83 eV for the cell shown
E_form = -0.593 eV/atom
Distance to the lowest polymorph of the same formula = 0 meV per atom

# 10
A relaxed YHo4Pd2 crystal. Source: Alexandria via LeMat-Bulk, functional PBE.

Cell and atoms, written as POSCAR:
```
YHo4Pd2
1.0
6.347 0.000 0.000
0.000 7.219 -3.019
0.000 0.019 8.068
Ho Pd Y
8 4 2
Cartesian
1.587 1.793 2.061
3.148 4.280 0.064
4.760 5.445 2.988
0.025 4.280 0.064
1.587 7.083 1.953
4.760 0.155 3.096
6.322 2.958 4.986
3.199 2.958 4.986
4.760 2.764 2.245
1.587 1.757 7.272
1.587 4.474 2.804
4.760 5.481 -2.223
4.760 1.113 -0.277
1.587 6.125 5.326
```

## Properties
Space-group type = No. 11
Total energy = -76.59 eV for the cell shown
E_form = -0.448 eV/atom
Distance to the lowest polymorph of the same formula = 0 meV per atom

# 11
A relaxed Y4HoPd2 crystal. Source: Alexandria via LeMat-Bulk, functional PBE.

Cell and atoms, written as POSCAR:
```
Y4HoPd2
1.0
5.197 0.000 0.000
2.598 4.501 0.000
2.598 1.500 8.603
Pd Ho Y
2 1 4
Cartesian
5.197 3.000 1.649
5.197 3.000 6.955
5.197 3.000 4.302
2.598 1.500 1.097
2.598 1.500 5.714
7.795 4.501 2.890
7.795 4.501 7.506
```

## Properties
Space-group type = No. 166
Total energy = -42.74 eV for the cell shown
E_form = -0.274 eV/atom
Distance to the lowest polymorph of the same formula = 72 meV per atom

# 12
A relaxed YHo3Pd crystal. Source: Alexandria via LeMat-Bulk, functional PBE.

Cell and atoms, written as POSCAR:
```
YHo3Pd
1.0
-2.566 -4.297 -1.382
1.019 -2.436 5.679
-6.242 6.020 2.627
Ho Y Pd
6 2 2
Cartesian
-4.679 2.214 1.804
-7.985 0.864 2.384
-5.263 -0.934 2.922
-3.111 -2.927 5.119
0.196 -1.577 4.540
-2.527 0.221 4.002
-5.521 1.615 5.229
-2.268 -2.328 1.695
-5.704 -1.534 5.605
-2.086 0.821 1.319
```

## Properties
Space-group type = No. 12
Total energy = -53.52 eV for the cell shown
E_form = -0.274 eV/atom

# 13
A relaxed YHo2Pd8 crystal. Source: Alexandria via LeMat-Bulk, functional PBE.

Cell and atoms, written as POSCAR:
```
YHo2Pd8
1.0
-0.331 3.841 -1.663
-4.454 1.695 4.803
6.980 -0.282 3.259
Ho Pd Y
2 8 1
Cartesian
-0.001 1.842 4.255
2.196 3.412 2.144
3.979 1.214 2.011
-1.785 4.041 4.388
1.068 4.479 4.831
3.123 2.266 4.611
-0.928 2.989 1.788
-2.679 1.339 3.625
4.874 3.916 2.774
1.127 0.776 1.568
-0.166 1.920 -0.832
```

## Properties
Space-group type = No. 12
Total energy = -65.60 eV for the cell shown
E_form = -0.767 eV/atom

# 14
A relaxed YHoPd6 crystal. Source: Alexandria via LeMat-Bulk, functional PBE.

Cell and atoms, written as POSCAR:
```
YHoPd6
1.0
4.125 0.000 0.000
0.000 4.125 0.000
0.000 0.000 8.247
Pd Ho Y
6 1 1
Cartesian
2.062 2.062 0.000
2.062 0.000 6.169
0.000 2.062 2.078
2.062 2.062 4.124
2.062 0.000 2.078
0.000 2.062 6.169
0.000 0.000 4.124
0.000 0.000 0.000
```

## Properties
Space-group type = No. 123
Total energy = -49.10 eV for the cell shown
E_form = -0.863 eV/atom

# 15
A relaxed Y4HoPd2 crystal. Source: Alexandria via LeMat-Bulk, functional PBE.

Cell and atoms, written as POSCAR:
```
Y4HoPd2
1.0
6.416 0.000 0.000
0.000 7.353 -2.945
0.000 0.263 7.920
Pd Y Ho
4 8 2
Cartesian
4.812 4.937 4.922
1.604 2.679 0.054
4.812 0.607 3.228
1.604 7.009 1.747
0.000 2.416 5.452
4.812 3.241 2.280
3.208 5.200 -0.476
6.415 5.200 -0.476
1.604 7.194 4.540
1.604 4.376 2.695
3.208 2.416 5.452
4.812 0.422 0.435
4.812 6.480 2.556
1.604 1.136 2.419
```

## Properties
Space-group type = No. 63
Total energy = -86.49 eV for the cell shown
E_form = -0.347 eV/atom
Distance to the lowest polymorph of the same formula = 0 meV per atom

# 16
A relaxed YHoPd crystal. Source: Alexandria via LeMat-Bulk, functional PBE.

Cell and atoms, written as POSCAR:
```
YHoPd
1.0
3.544 0.000 0.000
0.000 3.544 0.000
-1.772 -1.772 6.115
Ho Y Pd
1 1 1
Cartesian
0.000 0.000 0.372
0.000 0.000 3.743
1.772 1.772 2.000
```

## Properties
Space-group type = No. 107
Total energy = -17.90 eV for the cell shown
E_form = -0.556 eV/atom
Distance to the lowest polymorph of the same formula = 2 meV per atom

# 17
A relaxed Y5Ho2Pd4 crystal. Source: Alexandria via LeMat-Bulk, functional PBE.

Cell and atoms, written as POSCAR:
```
Y5Ho2Pd4
1.0
3.615 0.000 0.000
0.000 6.739 0.611
-1.807 -0.814 12.284
Pd Y Ho
4 5 2
Cartesian
1.807 1.345 11.850
0.000 4.580 1.045
1.807 3.106 4.455
0.000 2.819 8.440
0.000 5.338 3.801
0.000 1.292 5.937
1.807 4.633 6.958
1.807 0.587 9.095
1.807 0.000 0.000
0.000 2.114 2.426
1.807 3.811 10.469
```

## Properties
Space-group type = No. 12
Total energy = -66.86 eV for the cell shown
E_form = -0.419 eV/atom

# 18
A relaxed YHoPd4 crystal. Source: Alexandria via LeMat-Bulk, functional PBE.

Cell and atoms, written as POSCAR:
```
YHoPd4
1.0
5.444 0.000 0.000
2.722 4.715 0.000
2.722 1.572 4.445
Pd Ho Y
4 1 1
Cartesian
5.444 3.143 0.557
4.084 3.928 2.778
5.444 1.573 2.778
6.804 3.928 2.778
2.722 1.572 1.111
0.000 0.000 0.000
```

## Properties
Space-group type = No. 216
Total energy = -36.65 eV for the cell shown
E_form = -0.806 eV/atom
Distance to the lowest polymorph of the same formula = 0 meV per atom

# 19
A relaxed YHoPd4 crystal. Source: Alexandria via LeMat-Bulk, functional PBE.

Cell and atoms, written as POSCAR:
```
YHoPd4
1.0
0.196 3.016 2.029
-4.360 0.631 2.750
4.843 -1.528 5.069
Pd Y Ho
4 1 1
Cartesian
2.028 1.571 7.266
1.678 0.482 2.388
-1.349 0.548 2.581
-1.000 1.638 7.459
0.000 0.000 0.000
0.339 1.060 4.924
```

## Properties
Space-group type = No. 12
Total energy = -36.47 eV for the cell shown
E_form = -0.777 eV/atom
Distance to the lowest polymorph of the same formula = 29 meV per atom

# 20
A relaxed Y5HoPd6 crystal. Source: Alexandria via LeMat-Bulk, functional PBE.

Cell and atoms, written as POSCAR:
```
Y5HoPd6
1.0
4.760 -0.028 1.572
0.037 6.934 0.012
-0.007 -0.014 7.885
Y Pd Ho
5 6 1
Cartesian
3.189 3.439 6.306
1.602 3.453 3.163
0.019 3.467 0.006
1.584 -0.014 3.153
3.207 6.906 6.316
3.981 1.698 3.920
2.408 5.207 0.795
2.389 1.699 0.789
0.791 1.712 5.543
4.000 5.180 3.926
0.810 5.194 5.550
0.000 0.000 0.000
```

## Properties
Space-group type = No. 10
Total energy = -78.59 eV for the cell shown
E_form = -0.878 eV/atom